# Li3Hg3Pb

Li3Hg3Pb after structural relaxation (PBE, Alexandria via LeMat-Bulk).

Output
size of the total moment	0.00	Bohr magnetons per cell
relative energy among the computed polymorphs	0.48	eV per formula unit
total DFT energy (no corrections)	-1.698	eV/atom
E_form	-0.218	eV/atom

Lattice parameters (Å, degrees): 7.6210 7.6210 7.6033 59.92 59.92 60.00
Element x y z (fractional)
Li 0.9251 0.4495 0.3417
Hg 0.3014 0.0859 0.7817
Hg 0.9141 0.1690 0.2183
Hg 0.6986 0.9141 0.2183
Li 0.0749 0.5505 0.6583
Li 0.4495 0.2837 0.3417
Hg 0.1690 0.6986 0.2183
Li 0.5505 0.7163 0.6583
Hg 0.8310 0.3014 0.7817
Li 0.7163 0.0749 0.6583
Pb 0.3434 0.3434 0.9697
Hg 0.0859 0.8310 0.7817
Pb 0.6566 0.6566 0.0303
Li 0.2837 0.9251 0.3417